A plane-wave DFT calculation with PBE was carried out for an optimized crystal structure of Ba2Li2YO4.

Results
DFT total energy   -6.0216 eV per atom
Formation energy without anion corrections   -2247.1 meV/atom
D(E_F)   4.93 states/eV per cell
Size of the total moment   0.2 μB per formula unit
V   14.972 Å³ per atom

Cell lengths 12.713, 3.504, 6.349 Å; angles 90.00, 107.68, 90.00 degrees
Space group C2/m (No. 12)
Symmetry-distinct sites (fractional):
Ba (0.141, 0.000, 0.058) x4
Li (0.182, 0.500, 0.494) x4
Y (0.000, 0.000, 0.500) x2
O (0.028, 0.500, 0.278) x4
O (0.194, 0.000, 0.652) x4

A plane-wave DFT calculation with PBE was carried out for an optimized crystal structure of BaLiYO3.

Results
DFT total energy   -6.9750 eV per atom
Formation energy without anion corrections   -2779.2 meV/atom
D(E_F)   0.00 states/eV per cell
Size of the total moment   0.0 μB per formula unit
V   15.118 Å³ per atom

Cell lengths 3.534, 11.687, 8.785 Å; angles 90.00, 90.00, 90.00 degrees
Space group Cmcm (No. 63)
Symmetry-distinct sites (fractional):
Ba (0.000, 0.241, 0.250) x4
Li (0.000, 0.031, 0.750) x4
Y (0.000, 0.500, 0.000) x4
O (0.000, 0.120, 0.566) x8
O (0.000, 0.443, 0.750) x4

A plane-wave DFT calculation with PBE was carried out for an optimized crystal structure of Ba2LiYO.

Results
DFT total energy   -4.4262 eV per atom
Formation energy without anion corrections   -989.8 meV/atom
D(E_F)   5.28 states/eV per cell
Size of the total moment   0.0 μB per formula unit
V   33.059 Å³ per atom

Cell lengths 6.104, 6.104, 4.436 Å; angles 90.00, 90.00, 90.00 degrees
Space group P4/mmm (No. 123)
Symmetry-distinct sites (fractional):
Ba (0.000, 0.500, 0.000) x2
Li (0.000, 0.000, 0.500) x1
Y (0.500, 0.500, 0.500) x1
O (0.500, 0.500, 0.000) x1

A plane-wave DFT calculation with PBE was carried out for an optimized crystal structure of Ba2LiZnO.

Results
DFT total energy   -3.3934 eV per atom
Formation energy without anion corrections   -995.1 meV/atom
D(E_F)   3.94 states/eV per cell
Size of the total moment   0.4 μB per formula unit
V   26.216 Å³ per atom

Cell lengths 5.654, 5.654, 4.100 Å; angles 90.00, 90.00, 90.00 degrees
Space group P4/mmm (No. 123)
Symmetry-distinct sites (fractional):
Ba (0.000, 0.500, 0.000) x2
Li (0.000, 0.000, 0.500) x1
Zn (0.500, 0.500, 0.500) x1
O (0.000, 0.000, 0.000) x1

A plane-wave DFT calculation with PBE was carried out for an optimized crystal structure of BaLiZnO2.

Results
DFT total energy   -4.4725 eV per atom
Formation energy without anion corrections   -1467.1 meV/atom
D(E_F)   11.63 states/eV per cell
Size of the total moment   0.0 μB per formula unit
V   15.473 Å³ per atom

Cell lengths 5.103, 11.620, 5.219 Å; angles 90.00, 90.00, 90.00 degrees
Space group Cmme (No. 67)
Symmetry-distinct sites (fractional):
Ba (0.000, 0.250, 0.221) x4
Li (0.250, 0.000, 0.000) x4
Zn (0.000, 0.000, 0.500) x4
O (0.000, 0.112, 0.811) x8

A plane-wave DFT calculation with PBE was carried out for an optimized crystal structure of BaLiZrO3.

Results
DFT total energy   -6.7452 eV per atom
Formation energy without anion corrections   -2202.0 meV/atom
D(E_F)   3.15 states/eV per cell
Size of the total moment   0.0 μB per formula unit
V   14.638 Å³ per atom
Distance to the lowest polymorph of the same formula   185 meV per atom

Cell lengths 4.179, 4.179, 5.029 Å; angles 90.00, 90.00, 90.00 degrees
Space group P4/mmm (No. 123)
Symmetry-distinct sites (fractional):
Ba (0.000, 0.000, 0.000) x1
Li (0.000, 0.000, 0.500) x1
Zr (0.500, 0.500, 0.500) x1
O (0.000, 0.500, 0.500) x2
O (0.500, 0.500, 0.000) x1

A plane-wave DFT calculation with PBE was carried out for an optimized crystal structure of BaLiZrO3.

Results
DFT total energy   -6.9303 eV per atom
Formation energy without anion corrections   -2387.1 meV/atom
D(E_F)   5.33 states/eV per cell
Size of the total moment   0.0 μB per formula unit
V   14.408 Å³ per atom
Distance to the lowest polymorph of the same formula   0 meV per atom

Cell lengths 5.8671, 5.8671, 8.6994 Å; angles 90.00, 90.00, 120.00 degrees
Space group R3m (No. 160, hexagonal axes)
Symmetry-distinct sites (fractional):
Ba (0.0000, 0.0000, 0.0000) x3
Li (0.0000, 0.0000, 0.3259) x3
Zr (0.0000, 0.0000, 0.6078) x3
O (0.0058, 0.5029, 0.0983) x9

A plane-wave DFT calculation with PBE was carried out for an optimized crystal structure of BaLiOs.

Results
DFT total energy   -4.1842 eV per atom
D(E_F)   2.68 states/eV per cell
Size of the total moment   0.0 μB per formula unit
V   22.548 Å³ per atom
Distance to the lowest polymorph of the same formula   69 meV per atom
Formation enthalpy at 0 K   81 kJ/mol of atoms

Cell lengths 5.1046, 5.1046, 2.9976 Å; angles 90.00, 90.00, 120.00 degrees
Space group P-6m2 (No. 187)
Symmetry-distinct sites (fractional):
Ba (0.0000, 0.0000, 0.0000) x1
Li (0.6667, 0.3333, 0.5000) x1
Os (0.3333, 0.6667, 0.5000) x1